Arrangement i

PaSn2Pb (PBE-GGA, optimized geometry); space group = R-3m, No. 166
1.0
5.408 0.000 0.000
2.704 4.684 0.000
2.704 1.561 4.423
Pb Pa Sn
1 1 2
Direct
0.500 0.500 0.500
0.000 0.000 0.000
0.250 0.250 0.250
0.750 0.750 0.750


Arrangement ii

PaSn2Pb (PBE-GGA, optimized geometry); space group = P4/mmm, No. 123
1.0
-2.079 3.027 -1.805
-1.190 -2.575 -2.949
-5.271 -1.546 3.478
Pb Pa Sn
1 1 2
Direct
0.500 0.500 0.000
0.500 0.500 0.500
0.000 0.000 0.740
0.000 0.000 0.260


Arrangement iii

PaSn2Pb (PBE-GGA, optimized geometry); space group = P4/mmm, No. 123
1.0
4.656 0.000 0.000
0.000 4.729 0.000
0.000 0.000 4.729
Pb Pa Sn
1 1 2
Direct
0.500 0.500 0.500
0.500 0.000 0.000
0.000 0.000 0.500
0.000 0.500 0.000


Winner for stability: arrangement iii